# 1
VBIr2 | PBE | optimized geometry

Values from the calculation:
**SG**: I-42d, No. 122
**Magnetic moment**: 0.0 μB/cell

Unit cell a=5.098 b=5.098 c=6.184 alpha=65.66 beta=65.66 gamma=90.00
Fractional positions:
Ir  0.569  0.125  0.250
Ir  0.375  0.431  0.750
Ir  0.875  0.819  0.750
Ir  0.181  0.625  0.250
V  0.000  0.000  0.000
V  0.750  0.250  0.500
B  0.500  0.500  0.000
B  0.250  0.750  0.500



# 2
V2B2Ir | PBE | optimized geometry

Values from the calculation:
**SG**: P4/mbm, No. 127
**E above lowest polymorph**: 0.052 eV per atom
**Magnetic moment**: 0.0 μB/cell

Unit cell a=5.544 b=5.544 c=3.384 alpha=90.00 beta=90.00 gamma=90.00
Fractional positions:
B  0.384  0.884  0.000
B  0.884  0.616  0.000
B  0.116  0.384  0.000
B  0.616  0.116  0.000
Ir  0.000  0.000  0.000
Ir  0.500  0.500  0.000
V  0.669  0.831  0.500
V  0.331  0.169  0.500
V  0.831  0.331  0.500
V  0.169  0.669  0.500



# 3
V2B2Ir | PBE | optimized geometry

Values from the calculation:
**SG**: Cmcm, No. 63
**E above lowest polymorph**: 0.825 eV per atom
**Magnetic moment**: 2.9 μB/cell

Unit cell a=4.853 b=4.542 c=5.993 alpha=112.27 beta=90.00 gamma=90.00
Last column: magnetic moment on the atom in μB.
Fractional positions:
V  0.250  0.583  0.165  0.29
V  0.250  0.212  0.425  0.96
V  0.750  0.788  0.575  0.96
V  0.750  0.417  0.835  0.29
B  0.750  0.419  0.213  -0.02
B  0.250  0.206  0.787  -0.02
B  0.750  0.794  0.213  -0.02
B  0.250  0.581  0.787  -0.02
Ir  0.000  0.000  0.000  0.04
Ir  0.500  0.000  0.000  0.04



# 4
VB2Ir2 | PBE | optimized geometry

Values from the calculation:
**SG**: I4/mmm, No. 139
**Magnetic moment**: 1.3 μB/cell

Unit cell a=3.761 b=3.761 c=5.115 alpha=68.43 beta=68.43 gamma=90.00
Last column: magnetic moment on the atom in μB.
Fractional positions:
Ir  0.642  0.642  0.716  -0.06
Ir  0.358  0.358  0.284  -0.06
B  0.750  0.250  0.500  -0.01
B  0.250  0.750  0.500  -0.01
V  0.000  0.000  0.000  1.28



# 5
VB2Ir4 | PBE | optimized geometry

Values from the calculation:
**SG**: I4/mmm, No. 139
**Magnetic moment**: 0.0 μB/cell

Unit cell a=4.511 b=4.511 c=6.110 alpha=68.33 beta=68.33 gamma=90.00
Fractional positions:
Ir  0.500  0.000  0.000
Ir  0.000  0.500  0.000
Ir  0.771  0.771  0.459
Ir  0.229  0.229  0.541
B  0.579  0.579  0.842
B  0.421  0.421  0.158
V  0.000  0.000  0.000



# 6
V2BIr | PBE | optimized geometry

Values from the calculation:
**SG**: I-42d, No. 122
**Magnetic moment**: 0.0 μB/cell

Unit cell a=6.904 b=6.904 c=5.330 alpha=49.64 beta=49.64 gamma=90.00
Fractional positions:
B  0.500  0.500  0.000
B  0.250  0.750  0.500
Ir  0.000  0.000  0.000
Ir  0.750  0.250  0.500
V  0.375  0.470  0.750
V  0.220  0.625  0.250
V  0.875  0.780  0.750
V  0.530  0.125  0.250



# 7
VB2Ir | PBE | optimized geometry

Values from the calculation:
**SG**: I-42d, No. 122
**E above lowest polymorph**: 0.623 eV per atom
**Magnetic moment**: 0.0 μB/cell

Unit cell a=4.452 b=4.452 c=6.199 alpha=68.96 beta=68.96 gamma=90.00
Fractional positions:
V  0.250  0.750  0.500
V  0.500  0.500  0.000
Ir  0.000  0.000  0.000
Ir  0.750  0.250  0.500
B  0.653  0.125  0.250
B  0.097  0.625  0.250
B  0.875  0.903  0.750
B  0.375  0.347  0.750



# 8
V3BIr | PBE | optimized geometry

Values from the calculation:
**SG**: Pm-3m, No. 221
**E above lowest polymorph**: 1.827 eV per atom
**Magnetic moment**: 0.7 μB/cell

Unit cell a=4.547 b=4.547 c=4.547 alpha=90.00 beta=90.00 gamma=90.00
Last column: magnetic moment on the atom in μB.
Fractional positions:
V  0.000  0.500  0.000  0.22
V  0.000  0.000  0.500  0.22
V  0.500  0.000  0.000  0.22
Ir  0.000  0.000  0.000  -0.01
B  0.500  0.500  0.500  -0.03



The E_form results, record by record, are as follows: 207.6 -640.9 132.2 72.2 1133.6 -25.8 485.5 1707.8 meV/atom.
The total energy results, record by record, are as follows: -65.38 -87.32 -79.58 -39.83 -49.98 -67.76 -58.79 -34.36 eV/cell.
The calculated density results, record by record, are as follows: 11.3 10.1 8.6 12.3 13.2 9.9 8.3 6.3 g/cm3.